# 1
Computed, not measured: an optimized crystal structure of Zn3Rh at the PBE level of DFT.

Results
**Formation energy from the elements**: -175 meV per atom
**Total magnetization**: 0.0 μB per cell
**ρ**: 8.587 Mg/m³

Lattice parameters (Å, degrees): 4.873 4.873 4.873 90.00 90.00 90.00
Space group Pm-3n (No. 223)
Symmetry-distinct sites (fractional):
Zn: 0.000 0.250 0.500
Rh: 0.000 0.000 0.000

# 2
Computed, not measured: an optimized crystal structure of ZnRh at the PBE level of DFT.

Results
**Formation energy from the elements**: -91 meV per atom
**Total magnetization**: 2.3 μB per cell
**ρ**: 9.705 Mg/m³

Lattice parameters (Å, degrees): 2.7575 2.7575 26.2411 90.00 90.00 120.00
Space group R-3m (No. 166, hexagonal axes)
Symmetry-distinct sites (fractional):
Zn: 0.0000 0.0000 0.1225
Rh: 0.0000 0.0000 0.3752

# 3
Computed, not measured: an optimized crystal structure of ZnRh at the PBE level of DFT.

Results
**Formation energy from the elements**: -266 meV per atom
**Total magnetization**: 0.0 μB per cell
**ρ**: 9.924 Mg/m³

Lattice parameters (Å, degrees): 9.545 4.491 5.257 90.00 90.00 90.00
Space group Pnma (No. 62)
Symmetry-distinct sites (fractional):
Zn: 0.081 0.250 0.017
Zn: 0.178 0.750 0.271
Rh: 0.072 0.250 0.516
Rh: 0.170 0.750 0.774